# PBE-GGA Np2SiNi4P3, optimized geometry
# Formation energy without anion corrections (eV per atom): -0.69
# Mass density (g cm⁻³): 9.57
# Total energy (eV for the cell shown): -77.60
data_Np2SiNi4P3
_chemical_formula_sum 'Np2 Si1 Ni4 P3'
_symmetry_space_group_name_H-M 'P -4 m 2'
_symmetry_Int_Tables_number 115
_cell_length_a 3.960
_cell_length_b 3.960
_cell_length_c 9.181
_cell_angle_alpha 90.00
_cell_angle_beta 90.00
_cell_angle_gamma 90.00
loop_
_symmetry_equiv_pos_as_xyz
'x,y,z'
'y,-x,-z'
'-x,-y,z'
'-y,x,-z'
'-x,y,z'
'-y,-x,-z'
'x,-y,z'
'y,x,-z'
loop_
_atom_site_label
_atom_site_type_symbol
_atom_site_fract_x
_atom_site_fract_y
_atom_site_fract_z
Np1 Np 0.000 0.500 0.250
Si1 Si 0.000 0.000 0.500
Ni1 Ni 0.000 0.000 0.000
Ni2 Ni 0.000 0.500 0.621
Ni3 Ni 0.500 0.500 0.000
P1 P 0.000 0.500 0.866
P2 P 0.500 0.500 0.500